Here is a relaxed structure of Mn2Te2O7 from the Alexandria database. Energies are from PBE with a Hubbard U.

Unit cell a=3.335 b=6.948 c=6.948 alpha=67.82 beta=76.11 gamma=76.11
Sites, in units of the cell vectors:
Mn 0.000 0.922 0.078
Mn 0.500 0.330 0.670
Te 0.771 0.745 0.713
Te 0.229 0.287 0.255
O 0.828 0.054 0.289
O 0.879 0.435 0.807
O 0.500 0.035 0.965
O 0.622 0.450 0.307
O 0.378 0.693 0.550
O 0.172 0.711 0.946
O 0.121 0.193 0.565

Computed properties:
Fermi-level density of states: 3.74 states/eV/f.u.
symmetry: Imm2
calculated total energy: -6.216 eV/atom
ΔE to the lowest computed polymorph: 1.50 eV per formula unit